Below is B3C2 after structural relaxation, with properties calculated at the PBE level.

Geometry as POSCAR:
```
B3C2
1.0
-9.441 2.233 -7.601
-10.377 0.085 -6.649
-10.805 2.282 -5.471
B C
6 4
Cartesian
-29.926 4.496 -19.271
-18.830 2.829 -12.126
-5.541 0.833 -3.568
-25.082 3.769 -16.152
-11.794 1.772 -7.595
-0.697 0.105 -0.449
-17.508 2.631 -11.274
-6.862 1.031 -4.419
-23.762 3.570 -15.302
-13.116 1.971 -8.446
```

Values from the calculation:
* energy above the lowest structure with this stoichiometry: 0.231 eV per atom
* calculated total energy: -7.25 eV per atom
* ΔE_f: 0.44 eV/atom
* spin magnetization: 0.00 μB per formula unit